# Ca3SiRu

A relaxed structure of Ca3SiRu (GGA-PBE, Alexandria).

a b c (Å): 5.3062 5.3062 5.3062
angles (deg): 90.00 90.00 90.00
Fractional positions:
Ca: 0.0000 0.5000 0.0000
Si: 0.5000 0.5000 0.5000
Ca: 0.5000 0.0000 0.0000
Ca: 0.0000 0.0000 0.5000
Ru: 0.0000 0.0000 0.0000

## Properties
energy above the lowest structure with this stoichiometry: 0 meV per atom
mass density: 2.77 Mg/m³
volume: 149.40 Å³/cell